Li4CrAs | PBE-GGA | optimized geometry

Calculated values
Crystal system: cubic
Total magnetization: 4.45 μB per formula unit
Space group: F-43m, No. 216
Formation enthalpy at 0 K: 0.109 eV/atom

Cell lengths 5.0913, 5.0913, 5.0913 Å; angles 60.00, 60.00, 60.00 degrees
Fractional positions:
Li 0.1252 0.1252 0.1252
Li 0.1252 0.1252 0.6244
Li 0.1252 0.6244 0.1252
Li 0.6244 0.1252 0.1252
Cr 0.5000 0.5000 0.5000
As 0.7500 0.7500 0.7500